[1]
Zr2Ni2Au | PBE | relaxed

Summary:
- E_form: -554 meV per atom
- Symmetry: P4/mbm, No. 127

Cell lengths 7.051, 7.051, 3.334 Å; angles 90.00, 90.00, 90.00 degrees
Atoms (fractional coordinates):
Au 0.000 0.000 0.000
Au 0.500 0.500 0.000
Ni 0.624 0.124 0.000
Ni 0.124 0.376 0.000
Ni 0.876 0.624 0.000
Ni 0.376 0.876 0.000
Zr 0.326 0.174 0.500
Zr 0.826 0.326 0.500
Zr 0.174 0.674 0.500
Zr 0.674 0.826 0.500


[2]
RbCuNiSeS2 | PBE | relaxed

Summary:
- Total DFT energy (no corrections): -4.0638 eV per atom
- Symmetry: Cmcm, No. 63

Cell lengths 7.723, 7.723, 9.860 Å; angles 90.00, 90.00, 153.54 degrees
Atoms (fractional coordinates):
Cu 0.047 0.953 0.250
Cu 0.953 0.047 0.750
Ni 0.500 0.500 0.000
Ni 0.500 0.500 0.500
Rb 0.746 0.254 0.250
Rb 0.254 0.746 0.750
S 0.097 0.903 0.036
S 0.097 0.903 0.464
S 0.903 0.097 0.536
S 0.903 0.097 0.964
Se 0.440 0.560 0.250
Se 0.560 0.440 0.750


[3]
RbAcFe | PBE | relaxed

Summary:
- Total DFT energy (no corrections): -3.4336 eV per atom
- Symmetry: F-43m, No. 216

Cell lengths 5.441, 5.441, 5.441 Å; angles 60.00, 60.00, 60.00 degrees
Site moments in Bohr magnetons follow the coordinates.
Atoms (fractional coordinates):
Ac 0.500 0.500 0.500  -0.19
Fe 0.250 0.250 0.250  2.66
Rb 0.000 0.000 0.000  -0.02


[4]
Ho3Co7Ni2 | PBE | relaxed

Summary:
- E_form: -234 meV per atom
- Symmetry: R-3m, No. 166

Cell lengths 8.638, 8.638, 8.638 Å; angles 32.96, 32.96, 32.96 degrees
Site moments in Bohr magnetons follow the coordinates.
Atoms (fractional coordinates):
Co 0.582 0.582 0.081  1.24
Co 0.919 0.418 0.418  1.21
Co 0.418 0.919 0.418  1.39
Co 0.500 0.500 0.500  1.05
Co 0.081 0.582 0.582  1.21
Co 0.582 0.081 0.582  1.39
Co 0.418 0.418 0.919  1.24
Ho 0.000 0.000 0.000  -0.28
Ho 0.140 0.140 0.140  -0.39
Ho 0.860 0.860 0.860  -0.39
Ni 0.334 0.334 0.334  0.33
Ni 0.666 0.666 0.666  0.33